Model 1:
First-principles (GGA-PBE) data for a relaxed BaSrTlCd crystal, as listed in the Open Quantum Materials Database.

## Properties
Its density is 6.58 Mg/m³. The value obtained for the calculated volume is 34.173 A^3/atom.

a = 5.7821 Å, b = 5.7821 Å, c = 5.7821 Å
α = 60.00°, β = 60.00°, γ = 60.00°
With the nearest neighbours (Å) after each atom.
Fractional positions:
Ba (0.0000, 0.0000, 0.0000)  4 Cd 3.54, 4 Sr 3.54
Sr (0.2500, 0.2500, 0.2500)  4 Ba 3.54, 4 Tl 3.54
Tl (0.5000, 0.5000, 0.5000)  4 Cd 3.54, 4 Sr 3.54
Cd (0.7500, 0.7500, 0.7500)  4 Ba 3.54, 4 Tl 3.54

---

Model 2:
First-principles (GGA-PBE) data for a relaxed BaSrTlCd crystal, as listed in the Open Quantum Materials Database.

## Properties
Its density is 6.21 Mg/m³. The value obtained for the calculated volume is 36.199 A^3/atom.

a = 5.8942 Å, b = 5.8942 Å, c = 5.8942 Å
α = 60.00°, β = 60.00°, γ = 60.00°
With the nearest neighbours (Å) after each atom.
Fractional positions:
Ba (0.0000, 0.0000, 0.0000)  4 Cd 3.61, 4 Tl 3.61
Sr (0.5000, 0.5000, 0.5000)  4 Cd 3.61, 4 Tl 3.61
Tl (0.2500, 0.2500, 0.2500)  4 Sr 3.61, 4 Ba 3.61
Cd (0.7500, 0.7500, 0.7500)  4 Ba 3.61, 4 Sr 3.61

---

Verdict on stability: model 1 comes out at the bottom.

---

Model 1:
First-principles (GGA-PBE) data for a relaxed BaCdTe crystal, as listed in the Open Quantum Materials Database.

## Properties
Its density is 4.66 Mg/m³. The value obtained for the calculated volume is 44.867 A^3/atom.

a = 5.7525 Å, b = 5.7525 Å, c = 5.7525 Å
α = 60.00°, β = 60.00°, γ = 60.00°
With the nearest neighbours (Å) after each atom.
Fractional positions:
Ba (0.0000, 0.0000, 0.0000)  4 Te 3.52
Cd (0.5000, 0.5000, 0.5000)  4 Te 3.52
Te (0.2500, 0.2500, 0.2500)  4 Ba 3.52, 4 Cd 3.52

---

Model 2:
First-principles (GGA-PBE) data for a relaxed BaCdTe crystal, as listed in the Open Quantum Materials Database.

## Properties
Its density is 4.83 Mg/m³. The value obtained for the calculated volume is 43.258 A^3/atom.

a = 5.6829 Å, b = 5.6829 Å, c = 5.6829 Å
α = 60.00°, β = 60.00°, γ = 60.00°
With the nearest neighbours (Å) after each atom.
Fractional positions:
Ba (0.0000, 0.0000, 0.0000)  4 Cd 3.48, 4 Te 3.48
Cd (0.7500, 0.7500, 0.7500)  4 Ba 3.48
Te (0.2500, 0.2500, 0.2500)  4 Ba 3.48

---

Verdict on stability: model 1 comes out at the bottom.

---

Model 1:
First-principles (GGA-PBE) data for a relaxed BaZnCdTe3 crystal, as listed in the Open Quantum Materials Database.

## Properties
Its density is 6.01 Mg/m³. The value obtained for the calculated volume is 32.130 A^3/atom.

a = 7.7885 Å, b = 7.7885 Å, c = 11.6042 Å
α = 90.00°, β = 90.00°, γ = 146.79°
With the nearest neighbours (Å) after each atom.
Fractional positions:
Ba (0.2458, 0.7542, 0.7500)  6 Te 3.53-3.56, 2 Zn 3.84
Ba (0.7542, 0.2458, 0.2500)  6 Te 3.53-3.56, 2 Zn 3.84
Zn (0.4640, 0.5360, 0.2500)  4 Te 2.67-2.74
Zn (0.5360, 0.4640, 0.7500)  4 Te 2.67-2.74
Cd (0.0000, 0.0000, 0.0000)  6 Te 3.08-3.09
Cd (0.0000, 0.0000, 0.5000)  6 Te 3.08-3.09
Te (0.0708, 0.9292, 0.2500)  2 Zn 2.74
Te (0.3651, 0.6349, 0.0581)  1 Zn 2.67
Te (0.3651, 0.6349, 0.4419)  1 Zn 2.67
Te (0.6349, 0.3651, 0.5581)  1 Zn 2.67
Te (0.6349, 0.3651, 0.9419)  1 Zn 2.67
Te (0.9292, 0.0708, 0.7500)  2 Zn 2.74

---

Model 2:
First-principles (GGA-PBE) data for a relaxed BaZnCdTe3 crystal, as listed in the Open Quantum Materials Database.

## Properties
Its density is 6.02 Mg/m³. The value obtained for the calculated volume is 32.077 A^3/atom.

a = 7.8421 Å, b = 7.8421 Å, c = 11.5325 Å
α = 90.00°, β = 90.00°, γ = 147.13°
With the nearest neighbours (Å) after each atom.
Fractional positions:
Ba (0.2372, 0.7628, 0.7500)  6 Te 3.48-3.63, 2 Cd 3.84
Ba (0.7628, 0.2372, 0.2500)  6 Te 3.48-3.63, 2 Cd 3.84
Zn (0.0000, 0.0000, 0.0000)  6 Te 2.99-3.15
Zn (0.0000, 0.0000, 0.5000)  6 Te 2.99-3.15
Cd (0.4712, 0.5288, 0.2500)  4 Te 2.80-2.81
Cd (0.5288, 0.4712, 0.7500)  4 Te 2.80-2.81
Te (0.0850, 0.9150, 0.2500)  2 Cd 2.80
Te (0.3710, 0.6290, 0.0443)  1 Cd 2.81, 2 Zn 2.99
Te (0.3710, 0.6290, 0.4557)  1 Cd 2.81, 2 Zn 2.99
Te (0.6290, 0.3710, 0.5443)  1 Cd 2.81, 2 Zn 2.99
Te (0.6290, 0.3710, 0.9557)  1 Cd 2.81, 2 Zn 2.99
Te (0.9150, 0.0850, 0.7500)  2 Cd 2.80

---

Verdict on stability: model 2 comes out at the bottom.

---

Model 1:
First-principles (GGA-PBE) data for a relaxed Ba2TlCd crystal, as listed in the Open Quantum Materials Database.

## Properties
Its density is 6.41 Mg/m³. The value obtained for the calculated volume is 38.303 A^3/atom.

a = 12.1679 Å, b = 6.0399 Å, c = 8.3388 Å
α = 90.00°, β = 90.00°, γ = 90.00°
With the nearest neighbours (Å) after each atom.
Fractional positions:
Ba (0.1299, 0.2500, 0.9999)  4 Cd 3.64-3.73, 4 Tl 3.65-3.73
Ba (0.1304, 0.2500, 0.5000)  4 Cd 3.64-3.73, 4 Tl 3.65-3.73
Ba (0.3696, 0.7500, 0.0000)  4 Cd 3.64-3.73, 4 Tl 3.65-3.73
Ba (0.3701, 0.7500, 0.4999)  4 Cd 3.64-3.73, 4 Tl 3.65-3.73
Ba (0.6304, 0.2500, 0.0000)  4 Cd 3.64-3.73, 4 Tl 3.65-3.73
Ba (0.6299, 0.2500, 0.5001)  4 Cd 3.64-3.73, 4 Tl 3.65-3.73
Ba (0.8701, 0.7500, 0.0001)  4 Cd 3.64-3.73, 4 Tl 3.65-3.73
Ba (0.8696, 0.7500, 0.5000)  4 Cd 3.64-3.73, 4 Tl 3.65-3.73
Tl (0.1159, 0.7500, 0.2505)  8 Ba 3.65-3.73
Tl (0.3841, 0.2500, 0.7505)  8 Ba 3.65-3.73
Tl (0.6159, 0.7500, 0.2495)  8 Ba 3.65-3.73
Tl (0.8841, 0.2500, 0.7495)  8 Ba 3.65-3.73
Cd (0.1154, 0.7500, 0.7495)  8 Ba 3.64-3.73
Cd (0.3846, 0.2500, 0.2495)  8 Ba 3.64-3.73
Cd (0.6154, 0.7500, 0.7505)  8 Ba 3.64-3.73
Cd (0.8846, 0.2500, 0.2505)  8 Ba 3.64-3.73

---

Model 2:
First-principles (GGA-PBE) data for a relaxed Ba2TlCd crystal, as listed in the Open Quantum Materials Database.

## Properties
Its density is 6.89 Mg/m³. The value obtained for the calculated volume is 35.626 A^3/atom.

a = 5.8629 Å, b = 5.8629 Å, c = 5.8629 Å
α = 60.00°, β = 60.00°, γ = 60.00°
With the nearest neighbours (Å) after each atom.
Fractional positions:
Ba (0.0000, 0.0000, 0.0000)  4 Cd 3.59, 4 Ba 3.59
Ba (0.2500, 0.2500, 0.2500)  4 Ba 3.59, 4 Tl 3.59
Tl (0.5000, 0.5000, 0.5000)  4 Ba 3.59, 4 Cd 3.59
Cd (0.7500, 0.7500, 0.7500)  4 Tl 3.59, 4 Ba 3.59

---

Verdict on stability: model 2 comes out at the bottom.

---

Model 1:
First-principles (GGA-PBE) data for a relaxed Ba2TlCd crystal, as listed in the Open Quantum Materials Database.

## Properties
Its density is 6.43 Mg/m³. The value obtained for the calculated volume is 38.213 A^3/atom.

a = 7.3526 Å, b = 7.3526 Å, c = 7.3526 Å
α = 109.30°, β = 107.85°, γ = 111.28°
With the nearest neighbours (Å) after each atom.
Fractional positions:
Ba (0.2577, 0.0000, 0.7577)  4 Cd 3.64-3.71, 4 Tl 3.66-3.70
Ba (0.2577, 0.5000, 0.2577)  4 Cd 3.64-3.71, 4 Tl 3.66-3.70
Ba (0.7423, 0.0000, 0.2423)  4 Cd 3.64-3.71, 4 Tl 3.66-3.70
Ba (0.7423, 0.5000, 0.7423)  4 Cd 3.64-3.71, 4 Tl 3.66-3.70
Tl (0.2377, 0.4877, 0.7500)  8 Ba 3.66-3.70, 1 Cd 3.92
Tl (0.7623, 0.5123, 0.2500)  8 Ba 3.66-3.70, 1 Cd 3.92
Cd (0.2342, 0.9842, 0.2500)  8 Ba 3.64-3.71, 1 Tl 3.92
Cd (0.7658, 0.0158, 0.7500)  8 Ba 3.64-3.71, 1 Tl 3.92

---

Model 2:
First-principles (GGA-PBE) data for a relaxed Ba2TlCd crystal, as listed in the Open Quantum Materials Database.

## Properties
Its density is 6.34 Mg/m³. The value obtained for the calculated volume is 38.725 A^3/atom.

a = 6.0282 Å, b = 6.0282 Å, c = 6.0282 Å
α = 60.00°, β = 60.00°, γ = 60.00°
With the nearest neighbours (Å) after each atom.
Fractional positions:
Ba (0.2500, 0.2500, 0.2500)  4 Cd 3.69, 4 Tl 3.69
Ba (0.7500, 0.7500, 0.7500)  4 Cd 3.69, 4 Tl 3.69
Tl (0.0000, 0.0000, 0.0000)  8 Ba 3.69
Cd (0.5000, 0.5000, 0.5000)  8 Ba 3.69

---

Verdict on stability: model 1 comes out at the bottom.

---

Model 1:
First-principles (GGA-PBE) data for a relaxed BaCoCu2Se4 crystal, as listed in the Open Quantum Materials Database.

## Properties
Its density is 5.56 Mg/m³. The value obtained for the calculated volume is 23.869 A^3/atom.

a = 6.4282 Å, b = 6.4282 Å, c = 6.4282 Å
α = 119.42°, β = 118.27°, γ = 92.01°
With the nearest neighbours (Å) after each atom.
Fractional positions:
Ba (0.0000, 0.0000, 0.0000)  8 Se 3.25-3.43
Co (0.5000, 0.5000, 0.0000)  4 Se 2.31
Cu (0.2480, 0.7480, 0.5000)  4 Se 2.48-2.49
Cu (0.7520, 0.2520, 0.5000)  4 Se 2.48-2.49
Se (0.1408, 0.5183, 0.9975)  1 Co 2.31, 2 Cu 2.48-2.49
Se (0.4792, 0.4817, 0.6224)  1 Co 2.31, 2 Cu 2.48-2.49
Se (0.5208, 0.1433, 0.0025)  1 Co 2.31, 2 Cu 2.48-2.49
Se (0.8592, 0.8567, 0.3776)  1 Co 2.31, 2 Cu 2.48-2.49

---

Model 2:
First-principles (GGA-PBE) data for a relaxed BaCoCu2Se4 crystal, as listed in the Open Quantum Materials Database.

## Properties
Its density is 5.38 Mg/m³. The value obtained for the calculated volume is 24.652 A^3/atom.

a = 10.5975 Å, b = 6.5736 Å, c = 6.5736 Å
α = 120.54°, β = 90.00°, γ = 90.00°
With the nearest neighbours (Å) after each atom.
Fractional positions:
Ba (0.0000, 0.0000, 0.0000)  8 Se 3.32-3.42, 2 Cu 3.53
Ba (0.5000, 0.0000, 0.0000)  8 Se 3.32-3.42, 2 Cu 3.53
Co (0.2500, 0.5383, 0.2630)  4 Se 2.29-2.31
Co (0.7500, 0.2630, 0.5383)  4 Se 2.29-2.31
Cu (0.1229, 0.1845, 0.6200)  4 Se 2.41-2.45, 1 Cu 2.69
Cu (0.3771, 0.1845, 0.6200)  4 Se 2.41-2.45, 1 Cu 2.69
Cu (0.6229, 0.6200, 0.1845)  4 Se 2.41-2.45, 1 Cu 2.69
Cu (0.8771, 0.6200, 0.1845)  4 Se 2.41-2.45, 1 Cu 2.69
Se (0.0855, 0.5083, 0.0189)  1 Co 2.31, 2 Cu 2.41-2.43
Se (0.2500, 0.2382, 0.3460)  1 Co 2.30, 2 Cu 2.41
Se (0.2500, 0.8761, 0.6272)  1 Co 2.29, 2 Cu 2.45
Se (0.4145, 0.5083, 0.0189)  1 Co 2.31, 2 Cu 2.41-2.43
Se (0.5855, 0.0189, 0.5083)  1 Co 2.31, 2 Cu 2.41-2.43
Se (0.7500, 0.3460, 0.2382)  1 Co 2.30, 2 Cu 2.41
Se (0.7500, 0.6272, 0.8761)  1 Co 2.29, 2 Cu 2.45
Se (0.9145, 0.0189, 0.5083)  1 Co 2.31, 2 Cu 2.41-2.43

---

Verdict on stability: model 1 comes out at the bottom.